Run w
A plane-wave DFT calculation with PBE was carried out for LiNp2F8 after structural relaxation.

Lattice parameters (Å, degrees): 6.511 6.511 4.473 96.70 96.70 112.68
Fractional coordinates of all 11 atoms:
1 Li 0.000 0.000 0.000
2 Np 0.325 0.676 0.001
3 Np 0.676 0.325 0.001
4 F 0.047 0.325 0.054
5 F 0.271 0.730 0.501
6 F 0.325 0.047 0.054
7 F 0.396 0.396 0.729
8 F 0.606 0.606 0.273
9 F 0.676 0.955 0.948
10 F 0.730 0.271 0.501
11 F 0.955 0.676 0.948

Calculated values
Space group   Cm, No. 8
Volume   15.55 Å³/atom
D(E_F)   10.577 states/eV/cell

=====

Run x
A plane-wave DFT calculation with PBE was carried out for LiNp2F8 after structural relaxation.

Lattice parameters (Å, degrees): 6.850 6.850 5.570 92.07 92.07 41.75
Fractional coordinates of all 11 atoms:
1 Li 0.000 0.000 0.000
2 Np 0.126 0.126 0.544
3 Np 0.874 0.874 0.456
4 F 0.157 0.157 0.926
5 F 0.226 0.744 0.717
6 F 0.256 0.774 0.283
7 F 0.303 0.303 0.460
8 F 0.697 0.697 0.540
9 F 0.744 0.226 0.717
10 F 0.774 0.256 0.283
11 F 0.843 0.843 0.074

Calculated values
Space group   C2/m, No. 12
Volume   15.81 Å³/atom
D(E_F)   9.547 states/eV/cell

=====

Ranking the structures above by energy, run w is first and the second is 0.179 eV/atom behind.